A plane-wave DFT calculation with GGA-PBE was carried out for crystalline Be2InSiMo at its relaxed geometry.

Summary:
Mass density   4.24 g cm⁻³
Symmetry   P4/mmm
Crystal system   tetragonal
ΔE_f (raw)   1356 meV/atom

Cell: 4.4098 5.1742 4.4098 Å, 90.00 90.00 90.00°
Fractional positions:
Mo1 0.0000 0.0000 0.0000
Be1 0.5000 0.0000 0.0000
In1 0.0000 0.5000 0.0000
Si1 0.5000 0.5000 0.5000
Be2 0.0000 0.0000 0.5000